Entry 1:
A plane-wave DFT calculation with GGA-PBE was carried out for crystalline RbTc2Cl at its relaxed geometry.

a b c (Å): 4.823 4.823 17.257
angles (deg): 90.00 90.00 90.00
Space group I4_1/amd (No. 141, origin choice 2)
Asymmetric unit:
1 Rb 0.000 0.250 0.375
2 Tc 0.000 0.000 0.000
3 Cl 0.000 0.250 0.875

Results
For the formation energy from raw total energies, the calculation gives 1.001 eV/atom. Its excess energy over the best structure of this formula in the dataset is 0.0 kJ/mol of formula units. As for the crystal system: tetragonal. The calculation puts the total energy at -0.1795 Ha/atom. The calculation puts the density of states at the Fermi level at 1.13 states/eV per atom. The value obtained for the density is 5.245 Mg/m³.


Entry 2:
A plane-wave DFT calculation with GGA-PBE was carried out for crystalline RbTc2Cl8 at its relaxed geometry.

a b c (Å): 5.011 8.409 8.419
angles (deg): 74.16 86.91 87.00
Space group P-1 (No. 2)
Asymmetric unit:
1 Rb 0.000 0.000 0.000
2 Tc 0.259 0.391 0.391
3 Cl 0.240 0.580 0.581
4 Cl 0.267 0.164 0.622
5 Cl 0.268 0.623 0.165
6 Cl 0.295 0.220 0.220

Results
For the formation energy from raw total energies, the calculation gives -0.783 eV/atom. As for the crystal system: triclinic. The calculation puts the total energy at -0.1506 Ha/atom. The calculation puts the density of states at the Fermi level at 0.24 states/eV per atom. The value obtained for the density is 2.756 Mg/m³.


Entry 3:
A plane-wave DFT calculation with GGA-PBE was carried out for crystalline RbTc2Cl at its relaxed geometry.

a b c (Å): 7.253 7.253 7.253
angles (deg): 90.00 90.00 90.00
Space group Fm-3m (No. 225)
Asymmetric unit:
1 Rb 0.000 0.000 0.000
2 Tc 0.250 0.250 0.250
3 Cl 0.000 0.000 0.500

Results
For the formation energy from raw total energies, the calculation gives 1.984 eV/atom. Its excess energy over the best structure of this formula in the dataset is 379.4 kJ/mol of formula units. As for the crystal system: cubic. The calculation puts the total energy at -0.1434 Ha/atom. The calculation puts the density of states at the Fermi level at 0.74 states/eV per atom. The value obtained for the density is 5.516 Mg/m³.


Entry 4:
A plane-wave DFT calculation with GGA-PBE was carried out for crystalline Rb3TcCl6 at its relaxed geometry.

a b c (Å): 7.572 7.863 13.108
angles (deg): 90.00 123.73 90.00
Space group P2_1/c (No. 14)
Asymmetric unit:
1 Rb 0.000 0.000 0.000
2 Rb 0.278 0.069 0.757
3 Tc 0.500 0.000 0.500
4 Cl 0.197 0.021 0.289
5 Cl 0.290 0.668 0.050
6 Cl 0.390 0.240 0.050

Results
For the formation energy from raw total energies, the calculation gives -1.421 eV/atom. Its excess energy over the best structure of this formula in the dataset is 0.0 kJ/mol of formula units. As for the crystal system: monoclinic. The calculation puts the total energy at -0.1417 Ha/atom. The calculation puts the density of states at the Fermi level at 0.63 states/eV per atom. The value obtained for the density is 2.902 Mg/m³.


Entry 5:
A plane-wave DFT calculation with GGA-PBE was carried out for crystalline Rb3TcCl at its relaxed geometry.

a b c (Å): 6.319 6.319 6.319
angles (deg): 90.00 90.00 90.00
Space group Pm-3m (No. 221)
Asymmetric unit:
1 Rb 0.000 0.000 0.500
2 Tc 0.500 0.500 0.500
3 Cl 0.000 0.000 0.000

Results
For the formation energy from raw total energies, the calculation gives 0.270 eV/atom. Its excess energy over the best structure of this formula in the dataset is 0.0 kJ/mol of formula units. As for the crystal system: cubic. The calculation puts the total energy at -0.1012 Ha/atom. The calculation puts the density of states at the Fermi level at 0.87 states/eV per atom. The value obtained for the density is 2.566 Mg/m³.


Entry 6:
A plane-wave DFT calculation with GGA-PBE was carried out for crystalline Rb3TcCl6 at its relaxed geometry.

a b c (Å): 10.984 10.984 10.984
angles (deg): 90.00 90.00 90.00
Space group Fm-3m (No. 225)
Asymmetric unit:
1 Rb 0.000 0.000 0.000
2 Rb 0.250 0.250 0.250
3 Tc 0.000 0.000 0.500
4 Cl 0.000 0.000 0.281

Results
For the formation energy from raw total energies, the calculation gives -1.392 eV/atom. Its excess energy over the best structure of this formula in the dataset is 27.6 kJ/mol of formula units. As for the crystal system: cubic. The calculation puts the total energy at -0.1406 Ha/atom. The calculation puts the density of states at the Fermi level at 1.45 states/eV per atom. The value obtained for the density is 2.843 Mg/m³.


Entry 7:
A plane-wave DFT calculation with GGA-PBE was carried out for crystalline Rb3TcCl6 at its relaxed geometry.

a b c (Å): 12.7299 12.7299 15.1198
angles (deg): 90.00 90.00 120.00
Space group R-3 (No. 148, hexagonal axes)
Asymmetric unit:
1 Rb 0.0460 0.2716 0.2044
2 Tc 0.0000 0.0000 0.0000
3 Tc 0.0000 0.0000 0.5000
4 Cl 0.0148 0.1639 0.4081
5 Cl 0.0294 0.1700 0.9084

Results
For the formation energy from raw total energies, the calculation gives -1.412 eV/atom. Its excess energy over the best structure of this formula in the dataset is 8.7 kJ/mol of formula units. As for the crystal system: trigonal. The calculation puts the total energy at -0.1414 Ha/atom. The calculation puts the density of states at the Fermi level at 0.69 states/eV per atom. The value obtained for the density is 2.663 Mg/m³.


Entry 8:
A plane-wave DFT calculation with GGA-PBE was carried out for crystalline RbTcTeCl2 at its relaxed geometry.

a b c (Å): 5.618 5.618 6.657
angles (deg): 90.00 90.00 90.00
Space group P4/mmm (No. 123)
Asymmetric unit:
1 Rb 0.000 0.000 0.000
2 Tc 0.500 0.500 0.500
3 Te 0.000 0.000 0.500
4 Cl 0.000 0.500 0.000

Results
For the formation energy from raw total energies, the calculation gives 0.786 eV/atom. As for the crystal system: tetragonal. The calculation puts the total energy at -0.1046 Ha/atom. The calculation puts the density of states at the Fermi level at 0.75 states/eV per atom. The value obtained for the density is 3.018 Mg/m³.


Entry 9:
A plane-wave DFT calculation with GGA-PBE was carried out for crystalline Rb2TiTcCl6 at its relaxed geometry.

a b c (Å): 7.253 7.253 9.094
angles (deg): 90.00 90.00 90.00
Space group I4/mmm (No. 139)
Asymmetric unit:
1 Rb 0.000 0.500 0.250
2 Ti 0.000 0.000 0.000
3 Tc 0.000 0.000 0.500
4 Cl 0.000 0.000 0.248
5 Cl 0.246 0.246 0.500

Results
For the formation energy from raw total energies, the calculation gives -1.167 eV/atom. As for the crystal system: tetragonal. The calculation puts the total energy at -0.1578 Ha/atom. The calculation puts the density of states at the Fermi level at 0.45 states/eV per atom. The value obtained for the density is 3.676 Mg/m³.


Entry 10:
A plane-wave DFT calculation with GGA-PBE was carried out for crystalline Rb2TlTcCl6 at its relaxed geometry.

a b c (Å): 7.2601 7.2601 45.3364
angles (deg): 90.00 90.00 120.00
Space group R-3m (No. 166, hexagonal axes)
Asymmetric unit:
1 Rb 0.0000 0.0000 0.1414
2 Rb 0.0000 0.0000 0.3088
3 Tl 0.0000 0.0000 0.4154
4 Tc 0.0000 0.0000 0.0000
5 Tc 0.0000 0.0000 0.5000
6 Cl 0.0199 0.5100 0.1354
7 Cl 0.0213 0.5106 0.6978

Results
For the formation energy from raw total energies, the calculation gives -1.232 eV/atom. Its excess energy over the best structure of this formula in the dataset is 0.0 kJ/mol of formula units. As for the crystal system: trigonal. The calculation puts the total energy at -0.1399 Ha/atom. The calculation puts the density of states at the Fermi level at 0.64 states/eV per atom. The value obtained for the density is 3.303 Mg/m³.


Entry 11:
A plane-wave DFT calculation with GGA-PBE was carried out for crystalline Rb2TlTcCl6 at its relaxed geometry.

a b c (Å): 10.868 10.868 10.868
angles (deg): 90.00 90.00 90.00
Space group Fm-3m (No. 225)
Asymmetric unit:
1 Rb 0.250 0.250 0.250
2 Tl 0.000 0.000 0.000
3 Tc 0.000 0.000 0.500
4 Cl 0.000 0.000 0.278

Results
For the formation energy from raw total energies, the calculation gives -1.216 eV/atom. Its excess energy over the best structure of this formula in the dataset is 15.8 kJ/mol of formula units. As for the crystal system: cubic. The calculation puts the total energy at -0.1393 Ha/atom. The calculation puts the density of states at the Fermi level at 0.92 states/eV per atom. The value obtained for the density is 3.550 Mg/m³.


Entry 12:
A plane-wave DFT calculation with GGA-PBE was carried out for crystalline Rb2TcWCl6 at its relaxed geometry.

a b c (Å): 7.667 7.667 9.094
angles (deg): 90.00 90.00 90.00
Space group I4/mmm (No. 139)
Asymmetric unit:
1 Rb 0.000 0.500 0.250
2 Tc 0.000 0.000 0.000
3 W 0.000 0.000 0.500
4 Cl 0.000 0.000 0.249
5 Cl 0.230 0.230 0.500

Results
For the formation energy from raw total energies, the calculation gives -0.704 eV/atom. As for the crystal system: tetragonal. The calculation puts the total energy at -0.1594 Ha/atom. The calculation puts the density of states at the Fermi level at 0.53 states/eV per atom. The value obtained for the density is 4.134 Mg/m³.